(1)
VASP calculation (PBE) on a relaxed structure of Cs3PuAg2Br8.

The structure in POSCAR format:
```
Cs3PuAg2Br8
1.0
7.976 0.000 0.000
-3.988 6.908 0.000
0.000 0.000 10.635
Cs Pu Ag Br
3 1 2 8
Direct
0.000 0.000 0.000
0.333 0.667 0.629
0.667 0.333 0.371
0.000 0.000 0.500
0.333 0.667 0.189
0.667 0.333 0.811
0.165 0.330 0.337
0.165 0.835 0.337
0.330 0.165 0.663
0.333 0.667 0.952
0.667 0.333 0.048
0.670 0.835 0.337
0.835 0.165 0.663
0.835 0.670 0.663
```

Summary:
- Final energy: -3.854 eV per atom
- ΔE_f (raw): -124 kJ per mole of atoms

---

(2)
VASP calculation (PBE) on a relaxed structure of AlRh2Br.

The structure in POSCAR format:
```
AlRh2Br
1.0
0.000 3.163 3.163
3.163 0.000 3.163
3.163 3.163 0.000
Al Rh Br
1 2 1
Direct
0.000 0.000 0.000
0.250 0.250 0.250
0.750 0.750 0.750
0.500 0.500 0.500
```

Summary:
- Energy relative to the lowest polymorph listed for this composition: 0.481 eV per atom
- Final energy: -4.865 eV per atom
- ΔE_f (raw): 16 kJ per mole of atoms

---

(3)
VASP calculation (PBE) on a relaxed structure of Ac2Zn5Cu3.

The structure in POSCAR format:
```
Ac2Zn5Cu3
1.0
4.328 0.000 0.000
0.000 4.328 0.000
0.000 0.000 10.718
Ac Zn Cu
2 5 3
Direct
0.000 0.500 0.238
0.500 0.000 0.762
0.000 0.000 0.500
0.000 0.500 0.637
0.500 0.000 0.363
0.500 0.500 0.000
0.500 0.500 0.500
0.000 0.000 0.000
0.000 0.500 0.877
0.500 0.000 0.123
```

Summary:
- E_form: -220.5 meV per atom
- Energy relative to the lowest polymorph listed for this composition: 0.016 eV per atom
- Final energy: -2.908 eV per atom

---

(4)
VASP calculation (PBE) on a relaxed structure of Ac3TlSn.

The structure in POSCAR format:
```
Ac3TlSn
1.0
5.150 0.000 0.000
0.000 9.822 0.000
0.000 0.000 7.514
Ac Tl Sn
6 2 2
Direct
0.250 0.053 0.243
0.250 0.250 0.743
0.250 0.447 0.243
0.750 0.553 0.757
0.750 0.750 0.257
0.750 0.947 0.757
0.250 0.750 0.548
0.750 0.250 0.452
0.250 0.750 0.963
0.750 0.250 0.037
```

Summary:
- E_form: -439.5 meV per atom
- Energy relative to the lowest polymorph listed for this composition: 0.000 eV per atom
- Final energy: -4.178 eV per atom

---

(5)
VASP calculation (PBE) on a relaxed structure of Ag3GeSe4.

The structure in POSCAR format:
```
Ag3GeSe4
1.0
-2.985 2.985 5.942
2.985 -2.985 5.942
2.985 2.985 -5.942
Ag Ge Se
3 1 4
Direct
0.000 0.000 0.000
0.250 0.750 0.500
0.750 0.250 0.500
0.500 0.500 0.000
0.148 0.615 0.000
0.385 0.385 0.534
0.615 0.148 0.000
0.852 0.852 0.466
```

Summary:
- Energy relative to the lowest polymorph listed for this composition: 0.000 eV per atom
- Final energy: -3.542 eV per atom
- ΔE_f (raw): -15 kJ per mole of atoms

---

(6)
VASP calculation (PBE) on a relaxed structure of La3MoP.

The structure in POSCAR format:
```
La3MoP
1.0
5.397 0.000 0.000
0.000 5.397 0.000
0.000 0.000 5.397
La Mo P
3 1 1
Direct
0.000 0.000 0.500
0.000 0.500 0.000
0.500 0.000 0.000
0.000 0.000 0.000
0.500 0.500 0.500
```

Summary:
- E_form: 84.6 meV per atom
- Energy relative to the lowest polymorph listed for this composition: 0.000 eV per atom
- Final energy: -6.120 eV per atom

---

(7)
VASP calculation (PBE) on a relaxed structure of ThZrNbCu.

The structure in POSCAR format:
```
ThZrNbCu
1.0
0.000 3.494 3.494
3.494 0.000 3.494
3.494 3.494 0.000
Th Zr Nb Cu
1 1 1 1
Direct
0.000 0.000 0.000
0.500 0.500 0.500
0.250 0.250 0.250
0.750 0.750 0.750
```

Summary:
- E_form: 50.1 meV per atom
- Final energy: -7.483 eV per atom

---

(8)
VASP calculation (PBE) on a relaxed structure of AsIrW.

The structure in POSCAR format:
```
AsIrW
1.0
-1.472 1.472 5.503
1.472 -1.472 5.503
1.472 1.472 -5.503
As Ir W
1 1 1
Direct
0.000 0.000 0.000
0.681 0.681 0.000
0.331 0.331 0.000
```

Summary:
- E_form: 89.5 meV per atom
- Energy relative to the lowest polymorph listed for this composition: 0.000 eV per atom
- Final energy: -8.732 eV per atom

---

(9)
VASP calculation (PBE) on a relaxed structure of CaSi2Pt8.

The structure in POSCAR format:
```
CaSi2Pt8
1.0
5.393 0.000 0.000
0.000 5.393 0.000
0.000 0.000 7.843
Ca Si Pt
1 2 8
Direct
0.000 0.000 0.000
0.000 0.500 0.500
0.500 0.000 0.500
0.252 0.252 0.301
0.252 0.252 0.699
0.252 0.748 0.301
0.252 0.748 0.699
0.748 0.252 0.301
0.748 0.252 0.699
0.748 0.748 0.301
0.748 0.748 0.699
```

Summary:
- Final energy: -5.889 eV per atom
- ΔE_f (raw): -32 kJ per mole of atoms

---

(10)
VASP calculation (PBE) on a relaxed structure of YEr4Tm5.

The structure in POSCAR format:
```
YEr4Tm5
1.0
-5.035 5.035 3.120
5.035 -5.035 3.120
5.035 5.035 -3.120
Y Er Tm
1 4 5
Direct
0.000 0.000 0.000
0.121 0.823 0.398
0.425 0.723 0.602
0.723 0.121 0.298
0.823 0.425 0.702
0.041 0.132 0.623
0.132 0.509 0.091
0.418 0.041 0.909
0.509 0.418 0.377
0.541 0.541 0.000
```

Summary:
- E_form: 316.4 meV per atom
- Energy relative to the lowest polymorph listed for this composition: 0.263 eV per atom
- Final energy: -4.391 eV per atom

---

(11)
VASP calculation (PBE) on a relaxed structure of H2S.

The structure in POSCAR format:
```
H2S
1.0
4.345 0.000 0.000
0.057 4.661 0.000
0.492 1.257 5.504
H S
4 2
Direct
0.000 0.000 0.000
0.035 0.867 0.096
0.507 0.783 0.605
0.661 0.339 0.266
0.401 0.330 0.419
0.581 0.494 0.686
```

Summary:
- Energy relative to the lowest polymorph listed for this composition: 0.126 eV per atom
- Final energy: -3.663 eV per atom

---

(12)
VASP calculation (PBE) on a relaxed structure of ScTlNi2.

The structure in POSCAR format:
```
ScTlNi2
1.0
3.933 0.000 0.000
0.000 1.793 4.791
0.000 -1.793 4.791
Sc Tl Ni
1 1 2
Direct
0.000 0.000 0.000
0.500 0.707 0.707
0.000 0.289 0.289
0.500 0.432 0.432
```

Summary:
- E_form: -200.3 meV per atom
- Final energy: -5.265 eV per atom

---

(13)
VASP calculation (PBE) on a relaxed structure of CaBiSeN2.

The structure in POSCAR format:
```
CaBiSeN2
1.0
4.347 0.000 0.000
0.000 4.347 0.000
0.000 0.000 5.839
Ca Bi Se N
1 1 1 2
Direct
0.000 0.000 0.000
0.500 0.500 0.500
0.500 0.500 0.000
0.000 0.500 0.500
0.500 0.000 0.500
```

Summary:
- Energy relative to the lowest polymorph listed for this composition: 0.000 eV per atom
- Final energy: -4.599 eV per atom
- ΔE_f (raw): 58 kJ per mole of atoms

---

(14)
VASP calculation (PBE) on a relaxed structure of Al2In2I.

The structure in POSCAR format:
```
Al2In2I
1.0
8.703 0.000 0.000
0.000 8.703 0.000
0.000 0.000 3.601
Al In I
4 4 2
Direct
0.111 0.389 0.000
0.389 0.889 0.000
0.611 0.111 0.000
0.889 0.611 0.000
0.184 0.684 0.500
0.316 0.184 0.500
0.684 0.816 0.500
0.816 0.316 0.500
0.000 0.000 0.500
0.500 0.500 0.500
```

Summary:
- Energy relative to the lowest polymorph listed for this composition: 0.066 eV per atom
- Final energy: -2.711 eV per atom
- ΔE_f (raw): 18 kJ per mole of atoms

---

(15)
VASP calculation (PBE) on a relaxed structure of DyHo2TmSc5.

The structure in POSCAR format:
```
DyHo2TmSc5
1.0
2.655 -9.247 0.000
2.655 9.247 0.000
0.000 0.000 10.248
Dy Ho Tm Sc
2 4 2 10
Direct
0.082 0.918 0.500
0.918 0.082 0.000
0.388 0.612 0.363
0.391 0.609 0.772
0.609 0.391 0.272
0.612 0.388 0.863
0.294 0.706 0.052
0.706 0.294 0.552
0.021 0.979 0.775
0.104 0.896 0.062
0.201 0.799 0.753
0.215 0.785 0.344
0.479 0.521 0.071
0.521 0.479 0.571
0.785 0.215 0.844
0.799 0.201 0.253
0.896 0.104 0.562
0.979 0.021 0.275
```

Summary:
- E_form: 168.3 meV per atom
- Final energy: -5.375 eV per atom

---

(16)
VASP calculation (PBE) on a relaxed structure of MnPRu.

The structure in POSCAR format:
```
MnPRu
1.0
3.913 0.000 0.000
-1.957 3.389 0.000
0.000 0.000 2.745
Mn P Ru
1 1 1
Direct
0.000 0.000 0.000
0.667 0.333 0.006
0.333 0.667 0.500
```

Summary:
- E_form: -183.1 meV per atom
- Final energy: -8.135 eV per atom

---

(17)
VASP calculation (PBE) on a relaxed structure of RbSb3Au.

The structure in POSCAR format:
```
RbSb3Au
1.0
9.339 0.000 0.000
0.000 7.732 0.000
-3.369 0.000 9.471
Rb Sb Au
4 12 4
Direct
0.142 0.086 0.215
0.142 0.414 0.715
0.858 0.586 0.285
0.858 0.914 0.785
0.192 0.618 0.101
0.192 0.882 0.601
0.289 0.001 0.892
0.289 0.499 0.392
0.452 0.100 0.630
0.452 0.400 0.130
0.548 0.600 0.870
0.548 0.900 0.370
0.711 0.501 0.608
0.711 0.999 0.108
0.808 0.118 0.399
0.808 0.382 0.899
0.469 0.728 0.594
0.469 0.772 0.094
0.531 0.228 0.906
0.531 0.272 0.406
```

Summary:
- Energy relative to the lowest polymorph listed for this composition: 0.000 eV per atom
- Final energy: -3.505 eV per atom
- ΔE_f (raw): -18 kJ per mole of atoms

---

(18)
VASP calculation (PBE) on a relaxed structure of Na2TmAlO4.

The structure in POSCAR format:
```
Na2TmAlO4
1.0
5.438 0.000 0.000
0.000 3.167 0.000
-1.837 0.000 5.481
Na Tm Al O
2 1 1 4
Direct
0.000 0.000 0.000
0.500 0.500 0.000
0.000 0.500 0.500
0.500 0.000 0.500
0.266 0.000 0.699
0.289 0.500 0.302
0.711 0.500 0.698
0.734 0.000 0.301
```

Summary:
- Final energy: -6.416 eV per atom
- ΔE_f (raw): -249 kJ per mole of atoms

---

(19)
VASP calculation (PBE) on a relaxed structure of TaCo2Pb.

The structure in POSCAR format:
```
TaCo2Pb
1.0
1.574 0.909 7.912
-1.574 0.909 7.912
0.000 -1.817 7.912
Ta Co Pb
1 2 1
Direct
0.000 0.000 0.000
0.261 0.261 0.261
0.739 0.739 0.739
0.500 0.500 0.500
```

Summary:
- E_form: 349.7 meV per atom
- Final energy: -7.094 eV per atom

---

(20)
VASP calculation (PBE) on a relaxed structure of Y5Ho6Th.

The structure in POSCAR format:
```
Y5Ho6Th
1.0
3.077 -5.326 0.000
3.077 5.326 0.000
-2.049 0.000 11.598
Y Ho Th
5 6 1
Direct
0.000 0.000 0.000
0.167 0.833 0.500
0.333 0.667 0.000
0.667 0.333 0.000
0.833 0.167 0.500
0.088 0.417 0.251
0.254 0.254 0.749
0.417 0.088 0.251
0.583 0.912 0.749
0.746 0.746 0.251
0.912 0.583 0.749
0.500 0.500 0.500
```

Summary:
- E_form: 27.9 meV per atom
- Final energy: -5.573 eV per atom